Tl3CoSe2O8 after structural relaxation. Source: the Alexandria database, functional PBE+U.

Results
For the energy, the calculation gives -66.86 eV/f.u.

Geometry as POSCAR:
```
Tl3CoSe2O8
1.0
-5.6455 -0.1199 1.2483
2.5403 -4.6322 -2.3524
1.6366 -2.7281 7.1394
Tl Co Se O
3 1 2 8
direct
0.3333 0.6667 0.7797
0.6667 0.3333 0.2203
0.0000 0.0000 0.0000
0.0000 0.0000 0.5000
0.3333 0.6667 0.3304
0.6667 0.3333 0.6696
0.3333 0.6667 0.1135
0.6667 0.3333 0.8865
0.1494 0.8506 0.3432
0.8506 0.1494 0.6568
0.1494 0.2989 0.3432
0.8506 0.7011 0.6568
0.7011 0.8506 0.3432
0.2989 0.1494 0.6568
```